The following is a DFT calculation (PBE) of a relaxed NaAlGe crystal.

Values from the calculation:
DFT formation energy = -0.195 eV per atom
Density of states at the Fermi level = 0.5 states/eV/f.u.

Cell lengths 4.118, 4.244, 7.420 Å; angles 90.00, 90.00, 90.00 degrees
Space group Pmmn (No. 59, origin choice 2)
One atom of each set of equivalent atoms:
1 Na 0.250 0.250 0.139 (multiplicity 2)
2 Al 0.250 0.750 0.505 (multiplicity 2)
3 Ge 0.250 0.250 0.716 (multiplicity 2)